Here is crystalline Pa2CoRh2 at its relaxed geometry from Alexandria via LeMat-Bulk. Energies are from PBE.

Output
Formation energy in eV per atom: -0.596
Total moment in μB per formula unit: 0.000

a b c (Å): 3.770 6.264 8.017
angles (deg): 90.00 90.00 90.00
Sites, in units of the cell vectors:
Pa (0.500, 0.260, 0.114)
Pa (0.500, 0.740, 0.886)
Pa (0.500, 0.760, 0.386)
Pa (0.500, 0.240, 0.614)
Rh (0.000, 0.613, 0.162)
Rh (0.000, 0.387, 0.838)
Rh (0.000, 0.887, 0.662)
Rh (0.000, 0.113, 0.338)
Co (0.000, 0.500, 0.500)
Co (0.000, 0.000, 0.000)